Compound: PrSm4Pb2
Source: Alexandria via LeMat-Bulk
Functional: PBE
Structure: optimized geometry

Cell lengths 5.530, 5.530, 16.522 Å; angles 90.00, 90.00, 90.00 degrees
Space group I4/mmm (No. 139)
Asymmetric unit:
Pr: 0.000 0.000 0.000 (multiplicity 2)
Sm: 0.000 0.000 0.182 (multiplicity 4)
Sm: 0.000 0.500 0.000 (multiplicity 4)
Pb: 0.000 0.000 0.369 (multiplicity 4)

Output
- D(E_F) (states/eV/atom) = 1.199
- E_form (meV/atom) = 359
- raw total energy (eV/atom) = -4.080